(1)
A plane-wave DFT calculation with PBE was carried out for a geometry-optimized Na3UTi2S6 structure.

Lattice parameters (Å, degrees): 6.4639 6.4639 7.0424 98.83 98.83 120.08
Site moments in Bohr magnetons follow the coordinates.
Fractional positions:
Na (0.1636, 0.8364, 0.5000)  0.00
Na (0.8364, 0.1636, 0.5000)  0.00
Na (0.5000, 0.5000, 0.5000)  0.00
U (0.0000, 0.0000, 0.0000)  2.27
Ti (0.3313, 0.6687, 0.0000)  1.09
Ti (0.6687, 0.3313, 0.0000)  1.09
S (0.9271, 0.5756, 0.7833)  -0.04
S (0.7200, 0.7200, 0.2153)  -0.04
S (0.0729, 0.4244, 0.2167)  -0.04
S (0.5756, 0.9271, 0.7833)  -0.04
S (0.2800, 0.2800, 0.7847)  -0.04
S (0.4244, 0.0729, 0.2167)  -0.04

Formation energy (no corrections) (eV/atom): -1.353
Symmetry: C2/m (12)



(2)
A plane-wave DFT calculation with PBE was carried out for a geometry-optimized Tb6HgPd2 structure.

Lattice parameters (Å, degrees): 8.5747 8.5747 8.5747 105.47 110.06 112.97
Fractional positions:
Tb (0.5312, 0.7123, 0.8189)
Tb (0.4688, 0.2877, 0.1811)
Tb (0.1066, 0.2877, 0.8189)
Tb (0.8934, 0.7123, 0.1811)
Tb (0.8053, 0.7614, 0.5668)
Tb (0.1947, 0.2386, 0.4332)
Tb (0.1947, 0.7614, 0.9561)
Tb (0.8053, 0.2386, 0.0439)
Tb (0.6998, 0.3716, 0.6718)
Tb (0.3002, 0.6284, 0.3282)
Tb (0.3002, 0.9719, 0.6718)
Tb (0.6998, 0.0281, 0.3282)
Hg (0.0000, 0.5000, 0.5000)
Hg (0.0000, 0.0000, 0.0000)
Pd (0.5000, 0.3670, 0.8670)
Pd (0.5000, 0.6330, 0.1330)
Pd (0.6539, 0.0000, 0.6539)
Pd (0.3461, 0.0000, 0.3461)

Symmetry: Immm (71)
Formation energy (eV per atom): -0.519



(3)
A plane-wave DFT calculation with PBE was carried out for a geometry-optimized MgZrCoHg structure.

Lattice parameters (Å, degrees): 4.6933 4.6933 4.6933 60.00 60.00 60.00
Site moments in Bohr magnetons follow the coordinates.
Fractional positions:
Mg (0.7500, 0.7500, 0.7500)  0.01
Co (0.0000, 0.0000, 0.0000)  1.20
Hg (0.5000, 0.5000, 0.5000)  0.01
Zr (0.2500, 0.2500, 0.2500)  -0.10

Symmetry: F-43m (216)
Formation energy (eV per atom): -0.054



(4)
A plane-wave DFT calculation with PBE was carried out for a geometry-optimized YGePt3 structure.

Lattice parameters (Å, degrees): 4.7059 4.7059 4.7059 90.00 90.00 90.00
Fractional positions:
Y (0.5000, 0.5000, 0.5000)
Ge (0.0000, 0.0000, 0.0000)
Pt (0.0000, 0.5000, 0.0000)
Pt (0.0000, 0.0000, 0.5000)
Pt (0.5000, 0.0000, 0.0000)

Symmetry: Pm-3m (221)
Formation energy (eV per atom): -0.407
Polymorph energy (0 for the lowest one) (meV/atom): 435



(5)
A plane-wave DFT calculation with PBE was carried out for a geometry-optimized MgRePb4 structure.

Lattice parameters (Å, degrees): 6.3133 6.3133 6.3133 60.00 60.00 60.00
Site moments in Bohr magnetons follow the coordinates.
Fractional positions:
Mg (0.0000, 0.0000, 0.0000)  -0.02
Re (0.7500, 0.7500, 0.7500)  2.98
Pb (0.8734, 0.3756, 0.3756)  -0.02
Pb (0.3756, 0.3756, 0.8734)  -0.02
Pb (0.3756, 0.8734, 0.3756)  -0.02
Pb (0.3756, 0.3756, 0.3756)  -0.02

Symmetry: F-43m (216)
Formation energy (eV per atom): 1.069



(6)
A plane-wave DFT calculation with PBE was carried out for a geometry-optimized Sm6Co2HgBr3 structure.

Lattice parameters (Å, degrees): 3.9637 9.0609 10.2697 107.94 101.13 90.00
Fractional positions:
Sm (0.3359, 0.8601, 0.6718)
Sm (0.6859, 0.5724, 0.3718)
Sm (0.6641, 0.1399, 0.3282)
Sm (0.0399, 0.2739, 0.0798)
Sm (0.9601, 0.7261, 0.9202)
Sm (0.3141, 0.4276, 0.6282)
Co (0.8261, 0.6474, 0.6522)
Co (0.1739, 0.3526, 0.3478)
Hg (0.5000, 0.0000, 0.0000)
Br (0.5000, 0.5000, 0.0000)
Br (0.8279, 0.1546, 0.6558)
Br (0.1721, 0.8454, 0.3442)

Formation energy (no corrections) (eV/atom): -0.744
Symmetry: C2/m (12)



(7)
A plane-wave DFT calculation with PBE was carried out for a geometry-optimized Li3LaSi3 structure.

Lattice parameters (Å, degrees): 3.8577 9.5866 9.5876 120.00 90.00 90.00
Fractional positions:
Li (0.7500, 0.7660, 0.0929)
Li (0.7500, 0.3269, 0.2340)
Li (0.7500, 0.9071, 0.6731)
Li (0.2500, 0.2340, 0.9071)
Li (0.2500, 0.6731, 0.7660)
Li (0.2500, 0.0929, 0.3269)
La (0.7500, 0.3334, 0.6667)
La (0.2500, 0.6666, 0.3333)
Si (0.7500, 0.9555, 0.4130)
Si (0.7500, 0.4574, 0.0444)
Si (0.7500, 0.5871, 0.5426)
Si (0.2500, 0.0445, 0.5870)
Si (0.2500, 0.5426, 0.9556)
Si (0.2500, 0.4129, 0.4574)

Formation energy (no corrections) (eV/atom): -0.416
Symmetry: P6_3/m (176)



(8)
A plane-wave DFT calculation with PBE was carried out for a geometry-optimized ReTcNO2 structure.

Lattice parameters (Å, degrees): 3.7327 3.7327 4.4147 90.00 90.00 90.00
Site moments in Bohr magnetons follow the coordinates.
Fractional positions:
Re (0.5000, 0.5000, 0.5000)  3.60
Tc (0.0000, 0.0000, 0.0000)  0.07
O (0.0000, 0.5000, 0.0000)  0.08
O (0.5000, 0.0000, 0.0000)  0.08
N (0.0000, 0.0000, 0.5000)  -0.10

Formation energy (no corrections) (eV/atom): 0.578
Symmetry: P4/mmm (123)



(9)
A plane-wave DFT calculation with PBE was carried out for a geometry-optimized Pm4Pd3Pt structure.

Lattice parameters (Å, degrees): 3.8542 4.6209 10.8196 90.00 90.00 90.00
Fractional positions:
Pm (0.5000, 0.5000, 0.3604)
Pm (0.0000, 0.5000, 0.8658)
Pm (0.0000, 0.0000, 0.1373)
Pm (0.5000, 0.0000, 0.6367)
Pd (0.0000, 0.5000, 0.5854)
Pd (0.0000, 0.0000, 0.4154)
Pd (0.5000, 0.0000, 0.9124)
Pt (0.5000, 0.5000, 0.0867)

Symmetry: Pmm2 (25)
Formation energy (eV per atom): -0.927



(10)
A plane-wave DFT calculation with PBE was carried out for a geometry-optimized Tb2Dy9Tm structure.

Lattice parameters (Å, degrees): 3.4737 11.1636 11.1636 120.00 90.00 90.00
Fractional positions:
Tb (0.0000, 0.3333, 0.6667)
Tb (0.0000, 0.6667, 0.3333)
Dy (0.0000, 0.0000, 0.5000)
Dy (0.0000, 0.5000, 0.5000)
Dy (0.0000, 0.5000, 0.0000)
Dy (0.5000, 0.3495, 0.1748)
Dy (0.5000, 0.1748, 0.8252)
Dy (0.5000, 0.1748, 0.3495)
Dy (0.5000, 0.8252, 0.6505)
Dy (0.5000, 0.8252, 0.1748)
Dy (0.5000, 0.6505, 0.8252)
Tm (0.0000, 0.0000, 0.0000)

Symmetry: P6/mmm (191)
Formation energy (eV per atom): 0.058
Polymorph energy (0 for the lowest one) (meV/atom): 37



(11)
A plane-wave DFT calculation with PBE was carried out for a geometry-optimized TaPbF3 structure.

Lattice parameters (Å, degrees): 4.7944 4.7944 4.7944 90.00 90.00 90.00
Site moments in Bohr magnetons follow the coordinates.
Fractional positions:
Pb (0.0000, 0.0000, 0.0000)  0.03
F (0.0000, 0.5000, 0.0000)  0.05
F (0.0000, 0.0000, 0.5000)  0.05
F (0.5000, 0.0000, 0.0000)  0.04
Ta (0.5000, 0.5000, 0.5000)  2.46

Formation energy (no corrections) (eV/atom): -0.507
Symmetry: Pm-3m (221)
Polymorph energy (0 for the lowest one) (meV/atom): 918



(12)
A plane-wave DFT calculation with PBE was carried out for a geometry-optimized Co2SbBr structure.

Lattice parameters (Å, degrees): 3.5601 3.5572 7.5337 89.99 90.00 90.00
Site moments in Bohr magnetons follow the coordinates.
Fractional positions:
Br (0.5000, 0.8750, 0.8838)  0.18
Co (0.0000, 0.8750, 0.1210)  1.78
Co (0.5000, 0.3749, 0.1212)  1.78
Sb (0.0000, 0.3750, 0.3739)  0.02

Formation energy (no corrections) (eV/atom): 0.115
Symmetry: P4mm (99)
Polymorph energy (0 for the lowest one) (meV/atom): 0



(13)
A plane-wave DFT calculation with PBE was carried out for a geometry-optimized KAl2Hg structure.

Lattice parameters (Å, degrees): 10.2561 10.2561 10.2561 19.35 19.35 19.35
Fractional positions:
K (0.7500, 0.7500, 0.7500)
Hg (0.2500, 0.2500, 0.2500)
Al (0.9859, 0.9859, 0.9859)
Al (0.5141, 0.5141, 0.5141)

Symmetry: R-3m (166)
Formation energy (eV per atom): 0.313



(14)
A plane-wave DFT calculation with PBE was carried out for a geometry-optimized BaNbH structure.

Lattice parameters (Å, degrees): 4.6164 4.6164 5.9699 90.00 90.00 90.00
Fractional positions:
H (0.0000, 0.5000, 0.3239)
H (0.5000, 0.0000, 0.6761)
Nb (0.0000, 0.5000, 0.0131)
Nb (0.5000, 0.0000, 0.9869)
Ba (0.0000, 0.0000, 0.5000)
Ba (0.5000, 0.5000, 0.5000)

Symmetry: P4/nmm (129)
Polymorph energy (0 for the lowest one) (meV/atom): 541



(15)
A plane-wave DFT calculation with PBE was carried out for a geometry-optimized EuBN2 structure.

Lattice parameters (Å, degrees): 3.7843 3.7843 5.4952 69.86 69.86 60.00
Site moments in Bohr magnetons follow the coordinates.
Fractional positions:
Eu (0.5000, 0.5000, 0.5000)  6.37
B (0.0000, 0.0000, 0.0000)  0.01
N (0.0887, 0.0887, 0.7339)  -0.17
N (0.9113, 0.9113, 0.2661)  -0.17

Formation energy (no corrections) (eV/atom): -0.934
Symmetry: R-3m (166)
Polymorph energy (0 for the lowest one) (meV/atom): 118



(16)
A plane-wave DFT calculation with PBE was carried out for a geometry-optimized Hf3ZrNb structure.

Lattice parameters (Å, degrees): 6.0229 7.7746 9.8793 110.11 90.00 90.00
Fractional positions:
Hf (0.8279, 0.3877, 0.5676)
Hf (0.6721, 0.8877, 0.0676)
Hf (0.4226, 0.7183, 0.7418)
Hf (0.9226, 0.7817, 0.7582)
Hf (0.5774, 0.2817, 0.2582)
Hf (0.1721, 0.6123, 0.4324)
Hf (0.1313, 0.4138, 0.8339)
Hf (0.8687, 0.5862, 0.1661)
Hf (0.3279, 0.1123, 0.9324)
Hf (0.0774, 0.2183, 0.2418)
Hf (0.3687, 0.9138, 0.3339)
Hf (0.6313, 0.0862, 0.6661)
Zr (0.6793, 0.6977, 0.4650)
Zr (0.3207, 0.3023, 0.5350)
Zr (0.8207, 0.1977, 0.9650)
Zr (0.1793, 0.8023, 0.0350)
Nb (0.1457, 0.0036, 0.6193)
Nb (0.6457, 0.4964, 0.8807)
Nb (0.8543, 0.9964, 0.3807)
Nb (0.3543, 0.5036, 0.1193)

Symmetry: P2_1/c (14)
Formation energy (eV per atom): 0.095
Polymorph energy (0 for the lowest one) (meV/atom): 0